Entry 1:
A geometry-optimized Li2Al2Ir structure, computed with PBE.

CIF file:
```
data_Li2Al2Ir
_chemical_formula_sum 'Li8 Al8 Ir4'
_cell_length_a 4.4312
_cell_length_b 14.5739
_cell_length_c 4.3124
_cell_angle_alpha 90.00
_cell_angle_beta 90.00
_cell_angle_gamma 90.00
_symmetry_space_group_name_H-M 'C m c m'
_symmetry_Int_Tables_number 63
_symmetry_space_group_name_Hall '-C 2c 2'
loop_
_atom_site_label
_atom_site_type_symbol
_atom_site_fract_x
_atom_site_fract_y
_atom_site_fract_z
Li1 Li 0.0000 0.0559 0.2500
Li2 Li 0.0000 0.1548 0.7500
Al1 Al 0.0000 0.2488 0.2500
Al2 Al 0.0000 0.4472 0.2500
Ir1 Ir 0.0000 0.3526 0.7500
```

Summary:
As for the total magnetization: 0.0 μB/cell. As for the uncorrected energy: -90.98 eV/cell. The value obtained for the formation energy is -514 meV per atom. The polymorph energy (0 for the lowest one) comes out at 0 meV/atom.

---

Entry 2:
A geometry-optimized HoTmCd structure, computed with PBE.

CIF file:
```
data_HoTmCd
_chemical_formula_sum 'Ho1 Tm1 Cd1'
_cell_length_a 5.2179
_cell_length_b 5.2179
_cell_length_c 3.5018
_cell_angle_alpha 90.00
_cell_angle_beta 90.00
_cell_angle_gamma 120.00
_symmetry_space_group_name_H-M 'P 3 m 1'
_symmetry_Int_Tables_number 156
_symmetry_space_group_name_Hall 'P 3 -2"'
loop_
_atom_site_label
_atom_site_type_symbol
_atom_site_fract_x
_atom_site_fract_y
_atom_site_fract_z
Ho1 Ho 0.0000 0.0000 0.0000
Tm1 Tm 0.3333 0.6667 0.5544
Cd1 Cd 0.6667 0.3333 0.2991
```

Summary:
As for the total magnetization: 0.0 μB/cell. As for the uncorrected energy: -10.18 eV/cell. The value obtained for the formation energy is -73 meV per atom. The polymorph energy (0 for the lowest one) comes out at 116 meV/atom.

---

Entry 3:
A geometry-optimized Ac3Al4Au2 structure, computed with PBE.

CIF file:
```
data_Ac3Al4Au2
_chemical_formula_sum 'Ac6 Al8 Au4'
_cell_length_a 12.1114
_cell_length_b 4.4648
_cell_length_c 9.4199
_cell_angle_alpha 90.00
_cell_angle_beta 110.45
_cell_angle_gamma 90.00
_symmetry_space_group_name_H-M 'C 1 2/m 1'
_symmetry_Int_Tables_number 12
_symmetry_space_group_name_Hall '-C 2y'
loop_
_atom_site_label
_atom_site_type_symbol
_atom_site_fract_x
_atom_site_fract_y
_atom_site_fract_z
Ac1 Ac 0.0000 0.0000 0.0000
Ac2 Ac 0.1026 0.5000 0.6869
Al1 Al 0.1469 0.0000 0.4306
Al2 Al 0.2281 0.5000 0.0619
Au1 Au 0.1717 0.5000 0.3028
```

Summary:
As for the total magnetization: 0.0 μB/cell. As for the uncorrected energy: -77.46 eV/cell. The value obtained for the formation energy is -542 meV per atom. The polymorph energy (0 for the lowest one) comes out at 16 meV/atom.

---

Entry 4:
A geometry-optimized LiCa3 structure, computed with PBE.

CIF file:
```
data_LiCa3
_chemical_formula_sum 'Li1 Ca3'
_cell_length_a 3.7599
_cell_length_b 5.6389
_cell_length_c 7.3443
_cell_angle_alpha 90.00
_cell_angle_beta 103.83
_cell_angle_gamma 90.00
_symmetry_space_group_name_H-M 'P 1 2/m 1'
_symmetry_Int_Tables_number 10
_symmetry_space_group_name_Hall '-P 2y'
loop_
_atom_site_label
_atom_site_type_symbol
_atom_site_fract_x
_atom_site_fract_y
_atom_site_fract_z
Li1 Li 0.0000 0.0000 0.0000
Ca1 Ca 0.0000 0.0000 0.5000
Ca2 Ca 0.4169 0.5000 0.2369
```

Summary:
As for the total magnetization: 0.0 μB/cell. As for the uncorrected energy: -7.67 eV/cell. The value obtained for the formation energy is 63 meV per atom. The polymorph energy (0 for the lowest one) comes out at 31 meV/atom.

---

Entry 5:
A geometry-optimized Ba3OsSe structure, computed with PBE.

CIF file:
```
data_Ba3OsSe
_chemical_formula_sum 'Ba3 Os1 Se1'
_cell_length_a 5.8749
_cell_length_b 5.8749
_cell_length_c 5.8749
_cell_angle_alpha 90.00
_cell_angle_beta 90.00
_cell_angle_gamma 90.00
_symmetry_space_group_name_H-M 'P m -3 m'
_symmetry_Int_Tables_number 221
_symmetry_space_group_name_Hall '-P 4 2 3'
loop_
_atom_site_label
_atom_site_type_symbol
_atom_site_fract_x
_atom_site_fract_y
_atom_site_fract_z
Ba1 Ba 0.0000 0.0000 0.5000
Os1 Os 0.0000 0.0000 0.0000
Se1 Se 0.5000 0.5000 0.5000
```

Summary:
As for the total magnetization: 0.0 μB/cell. As for the uncorrected energy: -21.13 eV/cell. The formation energy (no corrections) is -0.13 eV/atom. The polymorph energy (0 for the lowest one) comes out at 0 meV/atom.

---

Entry 6:
A geometry-optimized SrPr2ReN4 structure, computed with PBE.

CIF file:
```
data_SrPr2ReN4
_chemical_formula_sum 'Sr4 Pr8 Re4 N16'
_cell_length_a 3.5572
_cell_length_b 12.6102
_cell_length_c 12.6250
_cell_angle_alpha 90.00
_cell_angle_beta 90.00
_cell_angle_gamma 90.00
_symmetry_space_group_name_H-M 'C m c m'
_symmetry_Int_Tables_number 63
_symmetry_space_group_name_Hall '-C 2c 2'
loop_
_atom_site_label
_atom_site_type_symbol
_atom_site_fract_x
_atom_site_fract_y
_atom_site_fract_z
Sr1 Sr 0.0000 0.0617 0.2500
Pr1 Pr 0.0000 0.3705 0.0405
Re1 Re 0.0000 0.1909 0.7500
N1 N 0.0000 0.0000 0.0000
N2 N 0.0000 0.2625 0.6211
N3 N 0.0000 0.3961 0.2500
```

Summary:
As for the total magnetization: 0.0 μB/cell. As for the uncorrected energy: -252.68 eV/cell. The formation energy (no corrections) is -0.77 eV/atom.